The following is a DFT calculation (PBE-GGA) of an optimized crystal structure of CsNaAu.

Cell and atoms, written as CIF:
```
data_CsNaAu
_space_group_name_H-M_alt 'P -6 m 2'
_space_group_IT_number 187
_space_group_name_Hall 'P -6 2'
_cell_length_a 5.1850
_cell_length_b 5.1850
_cell_length_c 5.3026
_cell_angle_alpha 90.00
_cell_angle_beta 90.00
_cell_angle_gamma 120.00
loop_
_atom_site_label
_atom_site_type_symbol
_atom_site_fract_x
_atom_site_fract_y
_atom_site_fract_z
Cs1 Cs 0.0000 0.0000 0.0000
Na1 Na 0.6667 0.3333 0.5000
Au1 Au 0.3333 0.6667 0.5000
```

Results
polymorph energy (0 for the lowest one) = 65 meV/atom
magnetization = 0.00 μB per cell


The following is a DFT calculation (PBE-GGA) of an optimized crystal structure of SnHgBrF2.

Cell and atoms, written as CIF:
```
data_SnHgBrF2
_space_group_name_H-M_alt 'P 4/m m m'
_space_group_IT_number 123
_space_group_name_Hall '-P 4 2'
_cell_length_a 4.387
_cell_length_b 4.387
_cell_length_c 5.995
_cell_angle_alpha 90.00
_cell_angle_beta 90.00
_cell_angle_gamma 90.00
loop_
_atom_site_label
_atom_site_type_symbol
_atom_site_fract_x
_atom_site_fract_y
_atom_site_fract_z
Sn1 Sn 0.000 0.000 0.000
Hg1 Hg 0.000 0.000 0.500
Br1 Br 0.500 0.500 0.500
F1 F 0.000 0.500 0.000
```

Results
E_form (uncorrected) = -6.543 eV/f.u.
polymorph energy (0 for the lowest one) = 4 meV/atom
magnetization = 0.00 μB per cell


The following is a DFT calculation (PBE-GGA) of an optimized crystal structure of ScCd4In.

Cell and atoms, written as CIF:
```
data_ScCd4In
_space_group_name_H-M_alt 'F -4 3 m'
_space_group_IT_number 216
_space_group_name_Hall 'F -4 2 3'
_cell_length_a 8.268
_cell_length_b 8.268
_cell_length_c 8.268
_cell_angle_alpha 90.00
_cell_angle_beta 90.00
_cell_angle_gamma 90.00
loop_
_atom_site_label
_atom_site_type_symbol
_atom_site_fract_x
_atom_site_fract_y
_atom_site_fract_z
Sc1 Sc 0.000 0.000 0.000
Cd1 Cd 0.126 0.126 0.626
In1 In 0.250 0.250 0.250
```

Results
polymorph energy (0 for the lowest one) = 116 meV/atom
magnetization = 0.00 μB per cell


The following is a DFT calculation (PBE-GGA) of an optimized crystal structure of Tl2ZnBO.

Cell and atoms, written as CIF:
```
data_Tl2ZnBO
_space_group_name_H-M_alt 'P 4/m m m'
_space_group_IT_number 123
_space_group_name_Hall '-P 4 2'
_cell_length_a 5.656
_cell_length_b 5.656
_cell_length_c 3.559
_cell_angle_alpha 90.00
_cell_angle_beta 90.00
_cell_angle_gamma 90.00
loop_
_atom_site_label
_atom_site_type_symbol
_atom_site_fract_x
_atom_site_fract_y
_atom_site_fract_z
Tl1 Tl 0.000 0.500 0.000
Zn1 Zn 0.000 0.000 0.000
B1 B 0.500 0.500 0.500
O1 O 0.000 0.000 0.500
```

Results
E_form (uncorrected) = 3.419 eV/f.u.
magnetization = 0.00 μB per cell


The following is a DFT calculation (PBE-GGA) of an optimized crystal structure of Cs2KRbNa.

Cell and atoms, written as CIF:
```
data_Cs2KRbNa
_space_group_name_H-M_alt 'I m m 2'
_space_group_IT_number 44
_cell_length_a 4.919
_cell_length_b 7.815
_cell_length_c 22.397
_cell_angle_alpha 90.00
_cell_angle_beta 90.00
_cell_angle_gamma 90.00
loop_
_space_group_symop_operation_xyz
'x,y,z'
'-x,-y,z'
'-x,y,z'
'x,-y,z'
'x+1/2,y+1/2,z+1/2'
'-x+1/2,-y+1/2,z+1/2'
'-x+1/2,y+1/2,z+1/2'
'x+1/2,-y+1/2,z+1/2'
loop_
_atom_site_label
_atom_site_type_symbol
_atom_site_fract_x
_atom_site_fract_y
_atom_site_fract_z
Cs1 Cs 0.000 0.000 0.000
Cs2 Cs 0.000 0.000 0.357
K1 K 0.000 0.000 0.779
Rb1 Rb 0.000 0.000 0.589
Na1 Na 0.000 0.500 0.682
```

Results
polymorph energy (0 for the lowest one) = 0 meV/atom
magnetization = 0.00 μB per cell


The following is a DFT calculation (PBE-GGA) of an optimized crystal structure of Ca2YCu.

Cell and atoms, written as CIF:
```
data_Ca2YCu
_space_group_name_H-M_alt 'I m m m'
_space_group_IT_number 71
_space_group_name_Hall '-I 2 2'
_cell_length_a 3.660
_cell_length_b 5.382
_cell_length_c 11.934
_cell_angle_alpha 90.00
_cell_angle_beta 90.00
_cell_angle_gamma 90.00
loop_
_atom_site_label
_atom_site_type_symbol
_atom_site_fract_x
_atom_site_fract_y
_atom_site_fract_z
Ca1 Ca 0.000 0.000 0.192
Y1 Y 0.000 0.500 0.000
Cu1 Cu 0.000 0.500 0.500
```

Results
polymorph energy (0 for the lowest one) = 107 meV/atom
magnetization = 0.00 μB per cell


The following is a DFT calculation (PBE-GGA) of an optimized crystal structure of AlFeCl2.

Cell and atoms, written as CIF:
```
data_AlFeCl2
_space_group_name_H-M_alt 'P 1 m 1'
_space_group_IT_number 6
_cell_length_a 3.213
_cell_length_b 3.058
_cell_length_c 8.597
_cell_angle_alpha 90.00
_cell_angle_beta 90.61
_cell_angle_gamma 90.00
loop_
_space_group_symop_operation_xyz
'x,y,z'
'x,-y,z'
loop_
_atom_site_label
_atom_site_type_symbol
_atom_site_fract_x
_atom_site_fract_y
_atom_site_fract_z
Al1 Al 0.000 0.000 0.000
Fe1 Fe 0.494 0.500 0.820
Cl1 Cl 0.005 0.500 0.205
Cl2 Cl 0.488 0.000 0.622
```

Results
E_form (uncorrected) = -1.898 eV/f.u.
polymorph energy (0 for the lowest one) = 0 meV/atom
magnetization = 2.93 μB per cell


The following is a DFT calculation (PBE-GGA) of an optimized crystal structure of YMgRe2.

Cell and atoms, written as CIF:
```
data_YMgRe2
_space_group_name_H-M_alt 'C m m 2'
_space_group_IT_number 35
_cell_length_a 3.259
_cell_length_b 4.733
_cell_length_c 9.739
_cell_angle_alpha 90.00
_cell_angle_beta 90.00
_cell_angle_gamma 90.00
loop_
_space_group_symop_operation_xyz
'x,y,z'
'-x,-y,z'
'-x,y,z'
'x,-y,z'
'x+1/2,y+1/2,z'
'-x+1/2,-y+1/2,z'
'-x+1/2,y+1/2,z'
'x+1/2,-y+1/2,z'
loop_
_atom_site_label
_atom_site_type_symbol
_atom_site_fract_x
_atom_site_fract_y
_atom_site_fract_z
Y1 Y 0.000 0.000 0.000
Mg1 Mg 0.000 0.500 0.306
Re1 Re 0.000 0.000 0.543
Re2 Re 0.000 0.500 0.750
```

Results
total energy = -7.829 eV per atom
magnetization = 0.00 μB per cell


| no. | DOS(E_F) (states/eV per cell) |
| --- | --- |
| 1 | 2.6 |
| 2 | 2.2 |
| 3 | 12.2 |
| 4 | 3.0 |
| 5 | 10.0 |
| 6 | 7.9 |
| 7 | 2.6 |
| 8 | 6.2 |